A relaxed Ho2Tm5In4 crystal, computed with PBE.

Calculated values
Magnetization, μB/cell: 0.0
Space group: No. 71
DFT total energy, eV per atom: -3.771

a b c (Å): 8.7102 8.7102 8.7102
angles (deg): 145.52 107.41 82.90
Element x y z (fractional)
Ho  0.1672  0.1672  0.0000
Ho  0.8328  0.8328  0.0000
Tm  0.0000  0.5000  0.5000
Tm  0.1187  0.7755  0.3432
Tm  0.4323  0.7755  0.6568
Tm  0.5677  0.2245  0.3432
Tm  0.8813  0.2245  0.6568
In  0.2159  0.0000  0.2159
In  0.3917  0.3917  0.0000
In  0.6083  0.6083  0.0000
In  0.7841  0.0000  0.7841

---

A relaxed CePm2Cd5 crystal, computed with PBE.

Calculated values
Magnetization, μB/cell: 0.7
Space group: No. 139
DFT total energy, eV per atom: -2.767

a b c (Å): 8.5012 8.5012 8.5012
angles (deg): 144.07 144.07 51.73
Element x y z (fractional)
Ce  0.0000  0.0000  0.0000
Pm  0.2651  0.2651  0.0000
Pm  0.7349  0.7349  0.0000
Cd  0.1185  0.6185  0.5000
Cd  0.3815  0.8815  0.5000
Cd  0.5000  0.5000  0.0000
Cd  0.6185  0.1185  0.5000
Cd  0.8815  0.3815  0.5000

---

A relaxed LiAcPuAl crystal, computed with PBE.

Calculated values
Magnetization, μB/cell: 6.5
Space group: No. 216
DFT total energy, eV per atom: -5.944

a b c (Å): 5.3993 5.3993 5.3993
angles (deg): 60.00 60.00 60.00
Element x y z (fractional)
Li  0.0000  0.0000  0.0000
Ac  0.2500  0.2500  0.2500
Pu  0.7500  0.7500  0.7500
Al  0.5000  0.5000  0.5000

---

A relaxed Cu3Pd4 crystal, computed with PBE.

Calculated values
Magnetization, μB/cell: 0.0
Space group: No. 12
DFT total energy, eV per atom: -4.739

a b c (Å): 6.4767 6.4767 6.5791
angles (deg): 116.33 116.33 24.07
Element x y z (fractional)
Cu  0.0000  0.0000  0.0000
Cu  0.2223  0.2223  0.1476
Cu  0.7777  0.7777  0.8524
Pd  0.0821  0.0821  0.7160
Pd  0.3625  0.3625  0.6090
Pd  0.6375  0.6375  0.3910
Pd  0.9179  0.9179  0.2840

---

A relaxed LaYIN2 crystal, computed with PBE.

Calculated values
Magnetization, μB/cell: 0.8
Space group: No. 123
Energy relative to the elements, uncorrected, kJ/mol of formula units: 125
DFT total energy, eV per atom: -5.660

a b c (Å): 4.4984 4.4984 6.0916
angles (deg): 90.00 90.00 90.00
Element x y z (fractional)
La  0.0000  0.0000  0.0000
Y  0.5000  0.5000  0.5000
I  0.0000  0.0000  0.5000
N  0.0000  0.5000  0.0000
N  0.5000  0.0000  0.0000

---

A relaxed NaAc3Te5 crystal, computed with PBE.

Calculated values
Magnetization, μB/cell: 0.0
Space group: No. 140
Energy relative to the elements, uncorrected, kJ/mol of formula units: -1177
DFT total energy, eV per atom: -4.617

a b c (Å): 10.2033 10.2033 10.2033
angles (deg): 128.40 128.40 75.97
Element x y z (fractional)
Na  0.2500  0.7500  0.5000
Na  0.7500  0.2500  0.5000
Ac  0.1493  0.6493  0.7985
Ac  0.2500  0.2500  0.0000
Ac  0.3507  0.1493  0.5000
Ac  0.6493  0.8507  0.5000
Ac  0.7500  0.7500  0.0000
Ac  0.8507  0.3507  0.2015
Te  0.0000  0.0000  0.0000
Te  0.0334  0.1833  0.5000
Te  0.1833  0.6833  0.1499
Te  0.3167  0.4666  0.5000
Te  0.4666  0.9666  0.1499
Te  0.5000  0.5000  0.0000
Te  0.5334  0.0334  0.8501
Te  0.6833  0.5334  0.5000
Te  0.8167  0.3167  0.8501
Te  0.9666  0.8167  0.5000

---

A relaxed CaMoIr2 crystal, computed with PBE.

Calculated values
Magnetization, μB/cell: 0.0
Space group: No. 123
DFT total energy, eV per atom: -7.564

a b c (Å): 4.8551 4.8551 2.8715
angles (deg): 90.00 90.00 90.00
Element x y z (fractional)
Ca  0.0000  0.0000  0.0000
Mo  0.5000  0.5000  0.0000
Ir  0.0000  0.5000  0.5000
Ir  0.5000  0.0000  0.5000

---

A relaxed Pm3Nd6Dy2Y crystal, computed with PBE.

Calculated values
Magnetization, μB/cell: 0.0
Space group: No. 12
DFT total energy, eV per atom: -4.865

a b c (Å): 6.3231 6.3231 12.0210
angles (deg): 95.02 95.02 120.00
Element x y z (fractional)
Pm  0.0000  0.0000  0.0000
Pm  0.3332  0.6668  0.0000
Pm  0.6668  0.3332  0.0000
Nd  0.0828  0.4170  0.2529
Nd  0.2489  0.2489  0.7473
Nd  0.4170  0.0828  0.2529
Nd  0.5830  0.9172  0.7471
Nd  0.7511  0.7511  0.2527
Nd  0.9172  0.5830  0.7471
Dy  0.1666  0.8334  0.5000
Dy  0.8334  0.1666  0.5000
Y  0.5000  0.5000  0.5000